Run i
Material: Ba2Ca2Br
Method: DFT, PBE
State: relaxed

a = 8.7342 Å, b = 8.7342 Å, c = 6.9241 Å
α = 90.00°, β = 90.00°, γ = 90.00°
Closest atoms and distances in Å follow each position.
Space group P4/mbm (No. 127)
One atom of each set of equivalent atoms:
Ba: 0.1648 0.3352 0.0000 x4  2 Br 3.26
Ca: 0.1491 0.6491 0.5000 x4  1 Ca 3.68
Br: 0.0000 0.0000 0.0000 x2  4 Ba 3.26

Calculated volume, Å³/cell: 528.2
Magnetization, μB/f.u.: 1.06
D(E_F), states/eV per cell: 9.318

---

Run ii
Material: Ba2Ca2Br
Method: DFT, PBE
State: relaxed

a = 8.3046 Å, b = 8.3046 Å, c = 6.9885 Å
α = 90.00°, β = 90.00°, γ = 90.00°
Closest atoms and distances in Å follow each position.
Space group P4/mbm (No. 127)
One atom of each set of equivalent atoms:
Ba: 0.1612 0.3388 0.0000 x4  1 Ba 3.79, 2 Ca 4.08
Ca: 0.1599 0.6599 0.5000 x4  2 Br 3.12
Br: 0.0000 0.0000 0.5000 x2  4 Ca 3.12

Calculated volume, Å³/cell: 482.0
Magnetization, μB/f.u.: 0.93
D(E_F), states/eV per cell: 9.277

---

How do the energies compare? Relative to the most stable structure, in meV/atom: run i 0; run ii 40.

---

Run i
Material: BaCa3Br
Method: DFT, PBE
State: relaxed

a = 6.1018 Å, b = 6.1018 Å, c = 6.1018 Å
α = 90.00°, β = 90.00°, γ = 90.00°
Closest atoms and distances in Å follow each position.
Space group Pm-3m (No. 221)
One atom of each set of equivalent atoms:
Ba: 0.0000 0.0000 0.0000 x1  12 Ca 4.31
Ca: 0.0000 0.5000 0.5000 x3  2 Br 3.05
Br: 0.5000 0.5000 0.5000 x1  6 Ca 3.05

Calculated volume, Å³/cell: 227.2
Magnetization, μB/f.u.: 0.00
D(E_F), states/eV per cell: 8.553

---

Run ii
Material: BaCa3Br
Method: DFT, PBE
State: relaxed

a = 7.2666 Å, b = 7.2666 Å, c = 7.2666 Å
α = 90.00°, β = 90.00°, γ = 90.00°
Closest atoms and distances in Å follow each position.
Space group Pm-3m (No. 221)
One atom of each set of equivalent atoms:
Ba: 0.0000 0.0000 0.0000 x1  6 Ca 3.63
Ca: 0.0000 0.0000 0.5000 x3  2 Ba 3.63
Br: 0.5000 0.5000 0.5000 x1  12 Ca 5.14

Calculated volume, Å³/cell: 383.7
Magnetization, μB/f.u.: 0.98
D(E_F), states/eV per cell: 13.243

---

How do the energies compare? Relative to the most stable structure, in meV/atom: run i 0; run ii 1032.

---

Run i
Material: Rb2BaCaBr6
Method: DFT, PBE
State: relaxed

a = 8.1385 Å, b = 8.5288 Å, c = 14.1484 Å
α = 90.00°, β = 124.73°, γ = 90.00°
Closest atoms and distances in Å follow each position.
Space group P2_1/c (No. 14)
One atom of each set of equivalent atoms:
Rb: 0.2246 0.0704 0.2499 x4  6 Br 3.48-3.72
Ba: 0.5000 0.0000 0.0000 x2  6 Br 3.22-3.24
Ca: 0.0000 0.0000 0.5000 x2  6 Br 2.92-2.95
Br: 0.1225 0.2150 0.9378 x4  1 Ca 2.95, 1 Ba 3.24
Br: 0.2315 0.6906 0.9437 x4  1 Ca 2.92, 1 Ba 3.22
Br: 0.3499 0.0396 0.7357 x4  1 Ca 2.92, 1 Ba 3.22

Calculated volume, Å³/cell: 807.1
Magnetization, μB/f.u.: 0.00
D(E_F), states/eV per cell: 0.000

---

Run ii
Material: Rb2BaCaBr6
Method: DFT, PBE
State: relaxed

a = 12.0473 Å, b = 12.0473 Å, c = 12.0473 Å
α = 90.00°, β = 90.00°, γ = 90.00°
Closest atoms and distances in Å follow each position.
Space group Fm-3m (No. 225)
One atom of each set of equivalent atoms:
Rb: 0.2500 0.2500 0.2500 x8  12 Br 4.26
Ba: 0.0000 0.0000 0.0000 x4  6 Br 3.15
Ca: 0.0000 0.0000 0.5000 x4  6 Br 2.87
Br: 0.0000 0.0000 0.2615 x24  1 Ca 2.87, 1 Ba 3.15

Calculated volume, Å³/cell: 1748.5
Magnetization, μB/f.u.: 0.00
D(E_F), states/eV per cell: 0.000

---

How do the energies compare? Relative to the most stable structure, in meV/atom: run i 0; run ii 54.

---

Run i
Material: Ba2SrCaBr
Method: DFT, PBE
State: relaxed

a = 6.6611 Å, b = 6.6611 Å, c = 5.7784 Å
α = 90.00°, β = 90.00°, γ = 90.00°
Closest atoms and distances in Å follow each position.
Space group P4/mmm (No. 123)
One atom of each set of equivalent atoms:
Ba: 0.0000 0.5000 0.0000 x2  2 Br 3.33
Sr: 0.0000 0.0000 0.5000 x1  8 Ba 4.41, 4 Ca 4.71
Ca: 0.5000 0.5000 0.5000 x1  2 Br 2.89
Br: 0.5000 0.5000 0.0000 x1  2 Ca 2.89

Calculated volume, Å³/cell: 256.4
Magnetization, μB/f.u.: 0.89
D(E_F), states/eV per cell: 8.454

---

Run ii
Material: Ba2SrCaBr
Method: DFT, PBE
State: relaxed

a = 6.5260 Å, b = 6.5260 Å, c = 6.0887 Å
α = 90.00°, β = 90.00°, γ = 90.00°
Closest atoms and distances in Å follow each position.
Space group P4/mmm (No. 123)
One atom of each set of equivalent atoms:
Ba: 0.0000 0.5000 0.0000 x2  2 Br 3.26
Sr: 0.0000 0.0000 0.5000 x1  2 Br 3.04
Ca: 0.5000 0.5000 0.5000 x1  8 Ba 4.46, 4 Sr 4.61
Br: 0.0000 0.0000 0.0000 x1  2 Sr 3.04, 4 Ba 3.26

Calculated volume, Å³/cell: 259.3
Magnetization, μB/f.u.: 0.65
D(E_F), states/eV per cell: 8.413

---

How do the energies compare? Relative to the most stable structure, in meV/atom: run i 0; run ii 7.

---

Run i
Material: BaCd3Br
Method: DFT, PBE
State: relaxed

a = 6.9098 Å, b = 6.9098 Å, c = 6.9098 Å
α = 90.00°, β = 90.00°, γ = 90.00°
Closest atoms and distances in Å follow each position.
Space group Pm-3m (No. 221)
One atom of each set of equivalent atoms:
Ba: 0.0000 0.0000 0.0000 x1  6 Cd 3.45
Cd: 0.0000 0.0000 0.5000 x3  2 Ba 3.45
Br: 0.5000 0.5000 0.5000 x1  12 Cd 4.89

Calculated volume, Å³/cell: 329.9
Magnetization, μB/f.u.: 0.00
D(E_F), states/eV per cell: 3.293

---

Run ii
Material: BaCd3Br
Method: DFT, PBE
State: relaxed

a = 5.9710 Å, b = 5.9710 Å, c = 5.9710 Å
α = 90.00°, β = 90.00°, γ = 90.00°
Closest atoms and distances in Å follow each position.
Space group Pm-3m (No. 221)
One atom of each set of equivalent atoms:
Ba: 0.0000 0.0000 0.0000 x1  12 Cd 4.22
Cd: 0.0000 0.5000 0.5000 x3  2 Br 2.99
Br: 0.5000 0.5000 0.5000 x1  6 Cd 2.99

Calculated volume, Å³/cell: 212.9
Magnetization, μB/f.u.: 0.00
D(E_F), states/eV per cell: 3.793

---

How do the energies compare? Relative to the most stable structure, in meV/atom: run i 188; run ii 0.

---

Run i
Material: Ba2Cd2Br
Method: DFT, PBE
State: relaxed

a = 9.3479 Å, b = 9.3479 Å, c = 4.5226 Å
α = 90.00°, β = 90.00°, γ = 90.00°
Closest atoms and distances in Å follow each position.
Space group P4/mbm (No. 127)
One atom of each set of equivalent atoms:
Ba: 0.1811 0.3189 0.0000 x4  6 Cd 3.55-3.61
Cd: 0.1123 0.6123 0.5000 x4  1 Cd 2.97
Br: 0.0000 0.0000 0.5000 x2  4 Cd 3.77, 8 Ba 4.11

Calculated volume, Å³/cell: 395.2
Magnetization, μB/f.u.: 0.00
D(E_F), states/eV per cell: 14.277

---

Run ii
Material: Ba2Cd2Br
Method: DFT, PBE
State: relaxed

a = 9.1701 Å, b = 9.1701 Å, c = 5.0505 Å
α = 90.00°, β = 90.00°, γ = 90.00°
Closest atoms and distances in Å follow each position.
Space group P4/mbm (No. 127)
One atom of each set of equivalent atoms:
Ba: 0.1852 0.3148 0.0000 x4  2 Br 3.35, 2 Cd 3.66
Cd: 0.1105 0.6105 0.5000 x4  1 Cd 2.87
Br: 0.0000 0.0000 0.0000 x2  4 Ba 3.35

Calculated volume, Å³/cell: 424.7
Magnetization, μB/f.u.: 0.00
D(E_F), states/eV per cell: 15.035

---

Run iii
Material: Ba2Cd2Br
Method: DFT, PBE
State: relaxed

a = 6.6644 Å, b = 6.6644 Å, c = 9.7069 Å
α = 90.00°, β = 90.00°, γ = 90.00°
Closest atoms and distances in Å follow each position.
Space group I4/mmm (No. 139)
One atom of each set of equivalent atoms:
Ba: 0.0000 0.5000 0.2500 x4  4 Cd 3.50
Cd: 0.0000 0.0000 0.1404 x4  1 Cd 2.73
Br: 0.0000 0.0000 0.5000 x2  2 Cd 3.49

Calculated volume, Å³/cell: 431.1
Magnetization, μB/f.u.: 0.00
D(E_F), states/eV per cell: 12.034

---

How do the energies compare? Relative to the most stable structure, in meV/atom: run i 108; run ii 0; run iii 254.

---

Run i
Material: Ba2CdBr6
Method: DFT, PBE
State: relaxed

a = 7.2456 Å, b = 7.2456 Å, c = 14.1611 Å
α = 90.00°, β = 90.00°, γ = 90.00°
Closest atoms and distances in Å follow each position.
Space group P4_2/mnm (No. 136)
One atom of each set of equivalent atoms:
Ba: 0.0000 0.0000 0.1660 x4  6 Br 3.24-3.26
Cd: 0.0000 0.0000 0.5000 x2  6 Br 2.82-2.88
Br: 0.1852 0.1852 0.3528 x8  1 Cd 2.82
Br: 0.2190 0.2190 0.0000 x4  1 Cd 2.88

Calculated volume, Å³/cell: 743.4
Magnetization, μB/f.u.: 0.00
D(E_F), states/eV per cell: 0.000

---

Run ii
Material: Ba2CdBr6
Method: DFT, PBE
State: relaxed

a = 7.2725 Å, b = 8.5201 Å, c = 12.4117 Å
α = 90.00°, β = 124.35°, γ = 90.00°
Closest atoms and distances in Å follow each position.
Space group P2_1/c (No. 14)
One atom of each set of equivalent atoms:
Ba: 0.2178 0.1106 0.2556 x4  8 Br 3.28-3.53
Cd: 0.5000 0.0000 0.0000 x2  6 Br 2.74-2.89
Br: 0.1211 0.1648 0.9455 x4  1 Cd 2.81
Br: 0.2858 0.6966 0.9456 x4  1 Cd 2.89
Br: 0.3535 0.0263 0.7434 x4  1 Cd 2.74

Calculated volume, Å³/cell: 634.9
Magnetization, μB/f.u.: 0.00
D(E_F), states/eV per cell: 0.000

---

How do the energies compare? Relative to the most stable structure, in meV/atom: run i 63; run ii 0.

---

Run i
Material: Cs2BaCdBr6
Method: DFT, PBE
State: relaxed

a = 8.2585 Å, b = 8.4368 Å, c = 14.3334 Å
α = 90.00°, β = 124.59°, γ = 90.00°
Closest atoms and distances in Å follow each position.
Space group P2_1/c (No. 14)
One atom of each set of equivalent atoms:
Cs: 0.2333 0.0519 0.2483 x4  8 Br 3.70-4.14
Ba: 0.5000 0.0000 0.0000 x2  6 Br 3.20-3.22
Cd: 0.0000 0.0000 0.5000 x2  6 Br 2.82-2.84
Br: 0.1529 0.2258 0.9610 x4  1 Cd 2.84
Br: 0.2377 0.6943 0.9634 x4  1 Cd 2.83
Br: 0.3051 0.0135 0.7328 x4  1 Cd 2.82

Calculated volume, Å³/cell: 822.2
Magnetization, μB/f.u.: 0.00
D(E_F), states/eV per cell: 0.000

---

Run ii
Material: Cs2BaCdBr6
Method: DFT, PBE
State: relaxed

a = 11.9107 Å, b = 11.9107 Å, c = 11.9107 Å
α = 90.00°, β = 90.00°, γ = 90.00°
Closest atoms and distances in Å follow each position.
Space group Fm-3m (No. 225)
One atom of each set of equivalent atoms:
Cs: 0.2500 0.2500 0.2500 x8  12 Br 4.21
Ba: 0.0000 0.0000 0.0000 x4  6 Br 3.16
Cd: 0.0000 0.0000 0.5000 x4  6 Br 2.80
Br: 0.0000 0.0000 0.2650 x24  1 Cd 2.80

Calculated volume, Å³/cell: 1689.7
Magnetization, μB/f.u.: 0.00
D(E_F), states/eV per cell: 0.000

---

How do the energies compare? Relative to the most stable structure, in meV/atom: run i 0; run ii 14.

---

Run i
Material: Ba2BrCl2
Method: DFT, PBE
State: relaxed

a = 5.1699 Å, b = 5.1699 Å, c = 15.2121 Å
α = 90.00°, β = 90.00°, γ = 90.00°
Closest atoms and distances in Å follow each position.
Space group I4/mmm (No. 139)
One atom of each set of equivalent atoms:
Ba: 0.0000 0.0000 0.1354 x4  4 Cl 3.12
Br: 0.0000 0.0000 0.5000 x2  8 Ba 4.20, 8 Cl 4.60
Cl: 0.0000 0.5000 0.2500 x4  4 Ba 3.12

Calculated volume, Å³/cell: 406.6
Magnetization, μB/f.u.: 0.93
D(E_F), states/eV per cell: 4.267

---

Run ii
Material: Ba2BrCl2
Method: DFT, PBE
State: relaxed

a = 8.9481 Å, b = 8.9481 Å, c = 4.0313 Å
α = 90.00°, β = 90.00°, γ = 90.00°
Closest atoms and distances in Å follow each position.
Space group P4/mbm (No. 127)
One atom of each set of equivalent atoms:
Ba: 0.1653 0.3347 0.0000 x4  6 Cl 3.25-3.36, 2 Br 3.34
Br: 0.0000 0.0000 0.0000 x2  4 Ba 3.34
Cl: 0.1332 0.6332 0.5000 x4  6 Ba 3.25-3.36, 1 Cl 3.37

Calculated volume, Å³/cell: 322.8
Magnetization, μB/f.u.: 0.31
D(E_F), states/eV per cell: 2.811

---

How do the energies compare? Relative to the most stable structure, in meV/atom: run i 97; run ii 0.

---

Run i
Material: KBaBr2Cl
Method: DFT, PBE
State: relaxed

a = 6.3421 Å, b = 6.3421 Å, c = 5.9835 Å
α = 90.00°, β = 90.00°, γ = 90.00°
Closest atoms and distances in Å follow each position.
Space group P4/mmm (No. 123)
One atom of each set of equivalent atoms:
K: 0.0000 0.0000 0.0000 x1  8 Br 4.36, 4 Cl 4.48
Ba: 0.5000 0.5000 0.5000 x1  2 Cl 2.99, 4 Br 3.17
Br: 0.0000 0.5000 0.5000 x2  2 Ba 3.17
Cl: 0.5000 0.5000 0.0000 x1  2 Ba 2.99

Calculated volume, Å³/cell: 240.7
Magnetization, μB/f.u.: 0.00
D(E_F), states/eV per cell: 0.000

---

Run ii
Material: KBaBr2Cl
Method: DFT, PBE
State: relaxed

a = 6.6335 Å, b = 6.6335 Å, c = 5.1652 Å
α = 90.00°, β = 90.00°, γ = 90.00°
Closest atoms and distances in Å follow each position.
Space group P4/mmm (No. 123)
One atom of each set of equivalent atoms:
K: 0.0000 0.0000 0.0000 x1  2 Cl 2.58
Ba: 0.5000 0.5000 0.0000 x1  8 Br 4.20, 4 K 4.69
Br: 0.0000 0.5000 0.5000 x2  2 Cl 3.32
Cl: 0.0000 0.0000 0.5000 x1  2 K 2.58

Calculated volume, Å³/cell: 227.3
Magnetization, μB/f.u.: 0.00
D(E_F), states/eV per cell: 1.423

---

How do the energies compare? Relative to the most stable structure, in meV/atom: run i 0; run ii 854.

---

Run i
Material: BaPBrCl2
Method: DFT, PBE
State: relaxed

a = 5.8155 Å, b = 5.8155 Å, c = 10.2650 Å
α = 90.00°, β = 90.00°, γ = 90.00°
Closest atoms and distances in Å follow each position.
Space group P4/mmm (No. 123)
One atom of each set of equivalent atoms:
Ba: 0.0000 0.0000 0.0000 x1  4 Cl 2.91
P: 0.0000 0.0000 0.5000 x1  4 Br 4.11
Br: 0.5000 0.5000 0.5000 x1  4 P 4.11
Cl: 0.0000 0.5000 0.0000 x2  2 Ba 2.91

Calculated volume, Å³/cell: 347.2
Magnetization, μB/f.u.: 2.07
D(E_F), states/eV per cell: 8.607

---

Run ii
Material: BaPBrCl2
Method: DFT, PBE
State: relaxed

a = 6.0629 Å, b = 6.0629 Å, c = 4.5949 Å
α = 90.00°, β = 90.00°, γ = 90.00°
Closest atoms and distances in Å follow each position.
Space group P4/mmm (No. 123)
One atom of each set of equivalent atoms:
Ba: 0.0000 0.0000 0.0000 x1  8 Cl 3.80
P: 0.5000 0.5000 0.0000 x1  2 Br 2.30
Br: 0.5000 0.5000 0.5000 x1  2 P 2.30
Cl: 0.0000 0.5000 0.5000 x2  2 Br 3.03

Calculated volume, Å³/cell: 168.9
Magnetization, μB/f.u.: 0.00
D(E_F), states/eV per cell: 3.577

---

How do the energies compare? Relative to the most stable structure, in meV/atom: run i 91; run ii 0.